## V2HF (PBE with a Hubbard U)

Data for crystalline V2HF at its relaxed geometry.

Lattice parameters (Å, degrees): 5.5394 5.5394 5.5394 90.00 90.00 90.00
Space group Fm-3m (No. 225)
One atom of each set of equivalent atoms:
V  0.2500  0.2500  0.2500 (multiplicity 8)
H  0.0000  0.0000  0.0000 (multiplicity 4)
F  0.0000  0.0000  0.5000 (multiplicity 4)

* spin magnetization: 0.76 μB/atom
* DFT total energy: -67.2 eV per cell
* energy above the most stable polymorph in this dataset: 917 meV per atom